Record 1
This record from Alexandria via LeMat-Bulk describes a relaxed structure of Er3P3Ir2. The functional is PBE.

Unit cell a=4.103 b=5.534 c=14.536 alpha=90.00 beta=90.00 gamma=111.76
Sites, in units of the cell vectors:
Er 0.855 0.709 0.409
Er 0.145 0.291 0.909
Er 0.855 0.709 0.091
Er 0.145 0.291 0.591
Er 0.568 0.136 0.250
Er 0.432 0.864 0.750
P 0.579 0.157 0.446
P 0.421 0.843 0.946
P 0.579 0.157 0.054
P 0.421 0.843 0.554
P 0.284 0.568 0.250
P 0.716 0.432 0.750
Ir 0.859 0.717 0.885
Ir 0.141 0.283 0.385
Ir 0.859 0.717 0.615
Ir 0.141 0.283 0.115

Calculated values
- Density of states at the Fermi level: 8.6 states/eV per cell
- Formation enthalpy at 0 K: -1.158 eV per atom
- Magnetization: 0.000 Bohr magnetons per cell
- Energy: -7.11 eV/atom

Record 2
This record from Alexandria via LeMat-Bulk describes a relaxed structure of NdUFe4. The functional is PBE.

Unit cell a=5.129 b=5.129 c=5.129 alpha=60.00 beta=60.00 gamma=60.00
Each line ends with the local moment (μB).
Sites, in units of the cell vectors:
Nd 0.000 0.000 0.000  -0.29
U 0.250 0.250 0.250  -2.47
Fe 0.624 0.624 0.127  2.03
Fe 0.624 0.127 0.624  2.03
Fe 0.624 0.624 0.624  2.03
Fe 0.127 0.624 0.624  2.03

Calculated values
- Density of states at the Fermi level: 11.5 states/eV per cell
- Formation enthalpy at 0 K: 0.088 eV per atom
- Magnetization: 4.831 Bohr magnetons per cell
- Energy: -8.23 eV/atom

Record 3
This record from Alexandria via LeMat-Bulk describes a relaxed structure of Nd2HoI6. The functional is PBE.

Unit cell a=7.895 b=7.895 c=12.126 alpha=90.00 beta=90.00 gamma=90.00
Each line ends with the local moment (μB).
Sites, in units of the cell vectors:
Nd 0.500 0.500 0.344  0.12
Nd 0.500 0.500 0.656  0.12
Nd 0.000 0.000 0.156  0.12
Nd 0.000 0.000 0.844  0.12
Ho 0.500 0.500 0.000  0.04
Ho 0.000 0.000 0.500  0.04
I 0.710 0.710 0.164  0.00
I 0.710 0.710 0.836  0.00
I 0.726 0.726 0.500  0.00
I 0.774 0.226 0.000  0.00
I 0.790 0.210 0.336  0.00
I 0.790 0.210 0.664  0.00
I 0.210 0.790 0.336  0.00
I 0.210 0.790 0.664  0.00
I 0.226 0.774 0.000  0.00
I 0.274 0.274 0.500  0.00
I 0.290 0.290 0.164  0.00
I 0.290 0.290 0.836  0.00

Calculated values
- Density of states at the Fermi level: 10.4 states/eV per cell
- Energy relative to the elements, uncorrected: -1.146 eV/atom
- Magnetization: 1.203 Bohr magnetons per cell
- Energy: -3.75 eV/atom

Record 4
This record from Alexandria via LeMat-Bulk describes a relaxed structure of AcNdIrRh. The functional is PBE.

Unit cell a=5.134 b=5.134 c=5.134 alpha=60.00 beta=60.00 gamma=60.00
Sites, in units of the cell vectors:
Rh 0.750 0.750 0.750
Ac 0.500 0.500 0.500
Ir 0.250 0.250 0.250
Nd 0.000 0.000 0.000

Calculated values
- Density of states at the Fermi level: 2.6 states/eV per cell
- Formation enthalpy at 0 K: -0.537 eV per atom
- Magnetization: 0.000 Bohr magnetons per cell
- Energy: -6.81 eV/atom

Record 5
This record from Alexandria via LeMat-Bulk describes a relaxed structure of Er2Ga3CuAu4. The functional is PBE.

Unit cell a=4.176 b=4.176 c=11.285 alpha=90.00 beta=90.00 gamma=90.00
Sites, in units of the cell vectors:
Er 0.500 0.000 0.255
Er 0.000 0.500 0.745
Ga 0.000 0.000 0.500
Ga 0.500 0.000 0.863
Ga 0.000 0.500 0.137
Cu 0.500 0.500 0.500
Au 0.500 0.500 0.000
Au 0.000 0.000 0.000
Au 0.500 0.000 0.643
Au 0.000 0.500 0.357

Calculated values
- Density of states at the Fermi level: 3.5 states/eV per cell
- Formation enthalpy at 0 K: -0.507 eV per atom
- Magnetization: 0.000 Bohr magnetons per cell
- Energy: -4.05 eV/atom

Record 6
This record from Alexandria via LeMat-Bulk describes a relaxed structure of Te4PtBr. The functional is PBE.

Unit cell a=6.192 b=6.192 c=6.192 alpha=60.00 beta=60.00 gamma=60.00
Sites, in units of the cell vectors:
Te 0.877 0.374 0.374
Te 0.374 0.374 0.877
Te 0.374 0.877 0.374
Te 0.374 0.374 0.374
Pt 0.000 0.000 0.000
Br 0.750 0.750 0.750

Calculated values
- Density of states at the Fermi level: 3.9 states/eV per cell
- Energy relative to the elements, uncorrected: 0.685 eV/atom
- Magnetization: 0.000 Bohr magnetons per cell
- Energy: -2.69 eV/atom

Record 7
This record from Alexandria via LeMat-Bulk describes a relaxed structure of Sn4AsSe3. The functional is PBE.

Unit cell a=7.300 b=7.362 c=8.429 alpha=90.00 beta=90.00 gamma=109.48
Sites, in units of the cell vectors:
As 0.750 0.000 0.875
As 0.250 0.000 0.125
Sn 0.995 0.249 0.630
Sn 0.502 0.238 0.882
Sn 0.495 0.249 0.370
Sn 0.002 0.238 0.118
Sn 0.998 0.762 0.882
Sn 0.505 0.751 0.630
Sn 0.498 0.762 0.118
Sn 0.005 0.751 0.370
Se 0.750 0.000 0.375
Se 0.250 0.000 0.625
Se 0.750 0.500 0.625
Se 0.750 0.500 0.126
Se 0.250 0.500 0.375
Se 0.250 0.500 0.874

Calculated values
- Density of states at the Fermi level: 7.1 states/eV per cell
- Energy relative to the elements, uncorrected: -0.318 eV/atom
- Magnetization: 0.000 Bohr magnetons per cell
- Energy: -4.21 eV/atom

Record 8
This record from Alexandria via LeMat-Bulk describes a relaxed structure of Mg2MoAs. The functional is PBE.

Unit cell a=3.849 b=4.342 c=4.059 alpha=90.00 beta=90.00 gamma=90.00
Sites, in units of the cell vectors:
As 0.000 0.500 0.500
Mg 0.000 0.000 0.000
Mg 0.500 0.500 0.000
Mo 0.500 0.000 0.500

Calculated values
- Density of states at the Fermi level: 3.3 states/eV per cell
- Formation enthalpy at 0 K: 0.168 eV per atom
- Magnetization: 0.003 Bohr magnetons per cell
- Energy: -4.50 eV/atom